SrEu2Hg | PBE | relaxed

## Properties
VASP energy: -5.90 eV per atom
Energy of formation from the pure elements: -0.27 eV per atom
DOS at the Fermi energy: 17.40 states/eV per cell
Distance to the lowest polymorph of the same formula: 0.0 meV per atom
Volume: 39.05 Å³ per atom

Cell lengths 3.9692, 3.9692, 9.9140 Å; angles 90.00, 90.00, 90.00 degrees
With the nearest neighbours (Å) after each atom.
Fractional positions:
Sr (0.0000, 0.0000, 0.0000)  4 Sr 3.97, 8 Eu 4.19
Eu (0.5000, 0.5000, 0.3139)  4 Hg 3.36, 1 Eu 3.69
Eu (0.5000, 0.5000, 0.6861)  4 Hg 3.36, 1 Eu 3.69
Hg (0.0000, 0.0000, 0.5000)  8 Eu 3.36